[1]
Below is a relaxed TaTlRe crystal, with properties calculated at the PBE-GGA level.

Summary:
DFT formation energy in meV per atom: 492.5

a b c (Å): 5.525 5.525 5.525
angles (deg): 144.66 144.66 50.84
Sites, in units of the cell vectors:
Ta (0.353, 0.353, 0.000)
Re (0.983, 0.983, 0.000)
Tl (0.664, 0.664, 0.000)



[2]
Below is a relaxed TaTlRe2 crystal, with properties calculated at the PBE-GGA level.

Summary:
DFT formation energy in meV per atom: 580.6

a b c (Å): 4.475 4.475 3.432
angles (deg): 90.00 90.00 89.98
Sites, in units of the cell vectors:
Re (0.500, 0.500, 0.000)
Re (0.000, 0.000, 0.000)
Ta (0.500, 0.000, 0.500)
Tl (0.000, 0.500, 0.500)



[3]
Below is a relaxed TmTaRe4 crystal, with properties calculated at the PBE-GGA level.

Summary:
DFT formation energy in meV per atom: -121.6

a b c (Å): 5.287 5.287 5.287
angles (deg): 60.00 60.00 60.00
Sites, in units of the cell vectors:
Re (0.625, 0.625, 0.124)
Re (0.625, 0.625, 0.625)
Re (0.625, 0.124, 0.625)
Re (0.124, 0.625, 0.625)
Tm (0.250, 0.250, 0.250)
Ta (0.000, 0.000, 0.000)



[4]
Below is a relaxed UTaRe4 crystal, with properties calculated at the PBE-GGA level.

Summary:
DFT formation energy in meV per atom: 85.5

a b c (Å): 5.310 5.310 5.310
angles (deg): 60.00 60.00 60.00
Sites, in units of the cell vectors:
Re (0.626, 0.123, 0.626)
Re (0.626, 0.626, 0.123)
Re (0.123, 0.626, 0.626)
Re (0.626, 0.626, 0.626)
U (0.250, 0.250, 0.250)
Ta (0.000, 0.000, 0.000)



[5]
Below is a relaxed UTaRe2 crystal, with properties calculated at the PBE-GGA level.

Summary:
DFT formation energy in meV per atom: -50.2

a b c (Å): 3.232 4.687 4.687
angles (deg): 90.00 90.00 90.00
Sites, in units of the cell vectors:
Re (0.000, 0.500, 0.000)
Re (0.000, 0.000, 0.500)
Ta (0.500, 0.500, 0.500)
U (0.500, 0.000, 0.000)



[6]
Below is a relaxed TaV5Re6 crystal, with properties calculated at the PBE-GGA level.

Summary:
DFT formation energy in meV per atom: -334.6

a b c (Å): 4.340 6.149 6.865
angles (deg): 90.00 71.57 90.00
Sites, in units of the cell vectors:
V (0.000, 0.500, 0.000)
V (0.332, 0.500, 0.335)
V (0.332, 0.000, 0.336)
V (0.668, 0.500, 0.665)
V (0.668, 0.000, 0.664)
Re (0.500, 0.743, 0.000)
Re (0.500, 0.257, 0.000)
Re (0.169, 0.747, 0.661)
Re (0.831, 0.747, 0.339)
Re (0.831, 0.253, 0.339)
Re (0.169, 0.253, 0.661)
Ta (0.000, 0.000, 0.000)



[7]
Below is a relaxed Ta6V5Re crystal, with properties calculated at the PBE-GGA level.

Summary:
DFT formation energy in meV per atom: -75.2

a b c (Å): 4.496 6.348 7.776
angles (deg): 114.09 106.80 90.00
Sites, in units of the cell vectors:
Ta (0.500, 0.750, 0.000)
Ta (0.833, 0.583, 0.667)
Ta (0.500, 0.250, 0.000)
Ta (0.167, 0.417, 0.333)
Ta (0.833, 0.084, 0.667)
Ta (0.167, 0.916, 0.333)
Re (0.000, 0.000, 0.000)
V (0.670, 0.170, 0.340)
V (0.000, 0.500, 0.000)
V (0.330, 0.830, 0.660)
V (0.666, 0.666, 0.333)
V (0.334, 0.334, 0.667)



[8]
Below is a relaxed TaV3Re crystal, with properties calculated at the PBE-GGA level.

Summary:
DFT formation energy in meV per atom: 21.4

a b c (Å): 3.006 6.914 7.882
angles (deg): 107.72 100.99 90.00
Sites, in units of the cell vectors:
Ta (0.119, 0.153, 0.238)
Ta (0.881, 0.847, 0.762)
Re (0.590, 0.457, 0.180)
Re (0.410, 0.543, 0.820)
V (0.951, 0.274, 0.902)
V (0.049, 0.726, 0.098)
V (0.227, 0.631, 0.455)
V (0.773, 0.369, 0.545)
V (0.688, 0.900, 0.376)
V (0.312, 0.100, 0.624)



[9]
Below is a relaxed Ta2V9Re crystal, with properties calculated at the PBE-GGA level.

Summary:
DFT formation energy in meV per atom: 166.1

a b c (Å): 5.025 5.025 8.562
angles (deg): 72.93 72.93 60.00
Sites, in units of the cell vectors:
V (0.584, 0.082, 0.751)
V (0.668, 0.668, 0.997)
V (0.416, 0.416, 0.249)
V (0.416, 0.918, 0.249)
V (0.918, 0.416, 0.249)
V (0.332, 0.332, 0.003)
V (0.082, 0.584, 0.751)
V (0.500, 0.500, 0.500)
V (0.584, 0.584, 0.751)
Ta (0.856, 0.856, 0.433)
Ta (0.144, 0.144, 0.567)
Re (0.000, 0.000, 0.000)



[10]
Below is a relaxed Ta4V4Re crystal, with properties calculated at the PBE-GGA level.

Summary:
DFT formation energy in meV per atom: 357.9

a b c (Å): 4.917 7.126 4.917
angles (deg): 71.66 84.93 108.33
Sites, in units of the cell vectors:
Re (0.005, 0.011, 0.995)
Ta (0.598, 0.632, 0.967)
Ta (0.952, 0.374, 0.048)
Ta (0.423, 0.374, 0.578)
Ta (0.033, 0.632, 0.402)
V (0.773, 0.150, 0.623)
V (0.240, 0.839, 0.760)
V (0.599, 0.839, 0.401)
V (0.377, 0.150, 0.227)



[11]
Below is a relaxed TaVRe2 crystal, with properties calculated at the PBE-GGA level.

Summary:
DFT formation energy in meV per atom: -330.8

a b c (Å): 3.139 4.420 4.420
angles (deg): 90.00 90.00 90.00
Sites, in units of the cell vectors:
Ta (0.500, 0.000, 0.000)
Re (0.000, 0.500, 0.000)
Re (0.000, 0.000, 0.500)
V (0.500, 0.500, 0.500)



[12]
Below is a relaxed Ta6VRe crystal, with properties calculated at the PBE-GGA level.

Summary:
DFT formation energy in meV per atom: -126.4

a b c (Å): 4.573 4.573 7.337
angles (deg): 71.84 71.84 90.00
Sites, in units of the cell vectors:
Re (0.000, 0.000, 0.000)
Ta (0.747, 0.747, 0.506)
Ta (0.619, 0.119, 0.763)
Ta (0.381, 0.881, 0.237)
Ta (0.881, 0.381, 0.237)
Ta (0.119, 0.619, 0.763)
Ta (0.253, 0.253, 0.494)
V (0.500, 0.500, 0.000)